# NaGdPO

An optimized crystal structure of NaGdPO (PBE, OQMD via LeMat-Bulk).

It has space group P4/nmm (No. 129, origin choice 2), with a = 5.594 Å, b = 5.594 Å, c = 4.930 Å, α = 90.00°, β = 90.00° and γ = 90.00°. Symmetry generates all atoms from Na at (0.250, 0.250, 0.003), Gd at (0.250, 0.750, 0.500), P at (0.250, 0.250, 0.502) and O at (0.250, 0.750, 0.000).

The value obtained for the total DFT energy (no corrections) is -42.34 eV/cell.